Entry 1:
Ca2ZnCu12Ni3: relaxed, PBE.

a = 6.360 Å, b = 6.360 Å, c = 6.360 Å
α = 83.49°, β = 83.49°, γ = 83.49°
Element x y z (fractional)
Ca: 0.742 0.742 0.742
Ca: 0.258 0.258 0.258
Zn: 0.000 0.000 0.000
Cu: 0.422 0.422 0.853
Cu: 0.801 0.801 0.279
Cu: 0.279 0.801 0.801
Cu: 0.853 0.422 0.422
Cu: 0.801 0.279 0.801
Cu: 0.422 0.853 0.422
Cu: 0.578 0.578 0.147
Cu: 0.199 0.199 0.721
Cu: 0.721 0.199 0.199
Cu: 0.147 0.578 0.578
Cu: 0.199 0.721 0.199
Cu: 0.578 0.147 0.578
Ni: 0.500 0.000 0.000
Ni: 0.000 0.500 0.000
Ni: 0.000 0.000 0.500

Properties
* total DFT energy (no corrections): -3.8966 eV/atom
* total magnetic moment: 0.0 Bohr magnetons per cell

***

Entry 2:
NaAl3Pd: relaxed, PBE.

a = 4.814 Å, b = 4.814 Å, c = 4.814 Å
α = 90.00°, β = 90.00°, γ = 90.00°
Element x y z (fractional)
Na: 0.500 0.500 0.500
Al: 0.000 0.500 0.000
Al: 0.000 0.000 0.500
Al: 0.500 0.000 0.000
Pd: 0.000 0.000 0.000

Properties
* total DFT energy (no corrections): -3.6195 eV/atom
* total magnetic moment: 0.0 Bohr magnetons per cell
* energy relative to the lowest polymorph listed for this composition: 0.000 kcal/mol of atoms

***

Entry 3:
Ba3Na2In: relaxed, PBE.

a = 6.316 Å, b = 6.316 Å, c = 15.522 Å
α = 90.00°, β = 90.00°, γ = 120.00°
Element x y z (fractional)
Ba: 0.333 0.667 0.416
Ba: 0.667 0.333 0.100
Ba: 0.000 0.000 0.736
Ba: 0.000 0.000 0.264
Ba: 0.333 0.667 0.900
Ba: 0.667 0.333 0.584
Na: 0.000 0.000 0.500
Na: 0.333 0.667 0.168
Na: 0.667 0.333 0.832
Na: 0.000 0.000 0.000
In: 0.333 0.667 0.664
In: 0.667 0.333 0.336

Properties
* total DFT energy (no corrections): -2.0049 eV/atom
* total magnetic moment: 0.0 Bohr magnetons per cell
* energy relative to the lowest polymorph listed for this composition: 0.365 kcal/mol of atoms

***

Entry 4:
Pm12Ho6Mg: relaxed, PBE.

a = 8.605 Å, b = 8.605 Å, c = 8.605 Å
α = 88.82°, β = 88.82°, γ = 88.82°
Element x y z (fractional)
Pm: 0.783 0.538 0.432
Pm: 0.432 0.783 0.538
Pm: 0.538 0.432 0.783
Pm: 0.217 0.462 0.568
Pm: 0.568 0.217 0.462
Pm: 0.462 0.568 0.217
Pm: 0.016 0.183 0.364
Pm: 0.817 0.636 0.984
Pm: 0.636 0.984 0.817
Pm: 0.984 0.817 0.636
Pm: 0.183 0.364 0.016
Pm: 0.364 0.016 0.183
Ho: 0.740 0.901 0.289
Ho: 0.711 0.260 0.099
Ho: 0.099 0.711 0.260
Ho: 0.260 0.099 0.711
Ho: 0.289 0.740 0.901
Ho: 0.901 0.289 0.740
Mg: 0.000 0.000 0.000

Properties
* total DFT energy (no corrections): -4.4060 eV/atom
* total magnetic moment: 0.0 Bohr magnetons per cell
* energy relative to the lowest polymorph listed for this composition: 0.000 kcal/mol of atoms

***

Let's list calculated formation energy in order: 0.0909; -0.0716; -0.1474; 0.1239 eV/atom.